[1]
LaHf2Nb2 (GGA-PBE, optimized geometry); total moment = 0.0 μB per formula unit; space group = No. 127; ρ = 9.61 g/cm3; E = -0.6409 Ry/atom; crystal system = tetragonal; energy of formation = 1.38 eV/f.u.
1.0
-3.146 7.026 3.564
-7.371 -3.980 1.339
1.073 -1.003 2.924
Hf La Nb
4 2 4
direct
0.861 0.361 0.500
0.139 0.639 0.500
0.361 0.139 0.500
0.639 0.861 0.500
0.000 0.000 0.000
0.500 0.500 0.000
0.855 0.645 0.000
0.145 0.355 0.000
0.355 0.855 0.000
0.645 0.145 0.000

***

[2]
LaHfNb2 (GGA-PBE, optimized geometry); total moment = 0.0 μB per formula unit; space group = No. 122; energy relative to the lowest polymorph listed for this composition = 1.63 eV/f.u.; ρ = 8.98 g/cm3; E = -0.5833 Ry/atom; crystal system = tetragonal; energy of formation = 3.27 eV/f.u.
1.0
-6.541 -4.265 0.973
4.283 -5.888 2.985
-1.469 -3.926 4.736
Nb Hf La
4 2 2
direct
0.113 0.625 0.250
0.637 0.125 0.250
0.375 0.363 0.750
0.875 0.887 0.750
0.000 0.000 0.000
0.750 0.250 0.500
0.250 0.750 0.500
0.500 0.500 0.000